VASP calculation (PBE-GGA) on KTaTi3 after structural relaxation.

Results
energy above the lowest structure with this stoichiometry: 0.000 eV/atom
DFT formation energy: 1137 meV per atom

Geometry as POSCAR:
```
KTaTi3
1.0
-4.2949 -2.3257 1.2442
2.1609 -1.7391 4.2083
-1.5125 4.1195 2.4791
K Ti Ta
1 3 1
direct
0.5000 0.5000 0.5000
0.0000 0.5000 0.0000
0.0000 0.0000 0.5000
0.5000 0.0000 0.0000
0.0000 0.0000 0.0000
```



VASP calculation (PBE-GGA) on Ac6La8Tm after structural relaxation.

Results
DFT formation energy: 335 meV per atom

Geometry as POSCAR:
```
Ac6La8Tm
1.0
-2.7690 7.4948 1.4886
-7.8686 1.7167 -1.0926
-5.5884 0.2687 10.4392
Ac La Tm
6 8 1
direct
0.8022 0.7305 0.2018
0.7345 0.1978 0.7982
0.2695 0.7345 0.7982
0.7305 0.2655 0.2018
0.2655 0.8022 0.2018
0.1978 0.2695 0.7982
0.7408 0.6091 0.5652
0.9151 0.2592 0.4348
0.3909 0.9151 0.4348
0.2961 0.2961 0.1118
0.7039 0.7039 0.8882
0.6091 0.0849 0.5652
0.0849 0.7408 0.5652
0.2592 0.3909 0.4348
0.0000 0.0000 0.0000
```



VASP calculation (PBE-GGA) on Ho3ErTm3S8 after structural relaxation.

Geometry as POSCAR:
```
Ho3ErTm3S8
1.0
7.7088 0.0001 -0.0001
-3.8543 6.6759 -0.0232
-0.0002 -4.4289 6.3189
Ho Er Tm S
3 1 3 8
direct
0.0000 0.0000 0.0000
0.0000 0.5000 0.0000
0.5000 0.5000 0.0000
0.0000 0.0000 0.5000
0.5000 0.0000 0.5000
0.5000 0.5000 0.5000
0.0000 0.5000 0.5000
0.2512 0.5025 0.2537
0.7488 0.4975 0.7463
0.7489 0.4979 0.2515
0.2511 0.5021 0.7485
0.7490 0.0026 0.2515
0.2510 0.9974 0.7485
0.2536 0.0026 0.2515
0.7464 0.9974 0.7485
```



VASP calculation (PBE-GGA) on Li2TaAg after structural relaxation.

Results
energy above the lowest structure with this stoichiometry: 0.150 eV/atom
DFT formation energy: 292 meV per atom

Geometry as POSCAR:
```
Li2TaAg
1.0
-4.5468 -0.3366 -0.5935
-0.3157 -0.3778 2.6328
-0.6095 5.3665 1.6255
Ag Li Ta
1 2 1
direct
0.5000 0.9115 0.7331
0.0000 0.8929 0.0175
0.5000 0.2025 0.2175
0.0000 0.4931 0.5319
```



VASP calculation (PBE-GGA) on CrAg2Br after structural relaxation.

Results
energy above the lowest structure with this stoichiometry: 0.250 eV/atom

Geometry as POSCAR:
```
CrAg2Br
1.0
-2.5576 -2.3153 -3.9619
-0.7265 -1.9390 4.8282
-2.6134 2.1099 0.4541
Ag Br Cr
2 1 1
direct
0.0000 0.0000 0.0000
0.5000 0.5000 0.0000
0.5000 0.0000 0.5000
0.0000 0.5000 0.5000
```



VASP calculation (PBE-GGA) on NaAlPb after structural relaxation.

Results
DFT formation energy: -26 meV per atom

Geometry as POSCAR:
```
NaAlPb
1.0
-2.6553 0.3333 -3.6463
-5.9583 -3.2367 4.0432
-1.3265 4.1190 1.3425
Pb Na Al
2 2 2
direct
0.0000 0.7629 0.0000
0.5000 0.2371 0.5000
0.0000 0.3417 0.0000
0.5000 0.6583 0.5000
0.0000 0.9998 0.5000
0.5000 0.0002 0.0000
```



VASP calculation (PBE-GGA) on BaMnFe2Sn after structural relaxation.

Results
DFT formation energy: 1788 meV per atom

Geometry as POSCAR:
```
BaMnFe2Sn
1.0
4.9092 0.0000 0.0000
0.0000 6.3258 0.0000
0.0000 0.0000 4.9092
Fe Mn Ba Sn
2 1 1 1
direct
0.0000 0.0000 0.5000
0.5000 0.0000 0.0000
0.5000 0.5000 0.5000
0.0000 0.5000 0.0000
0.0000 0.0000 0.0000
```



VASP calculation (PBE-GGA) on BCS after structural relaxation.

Results
energy above the lowest structure with this stoichiometry: 0.002 eV/atom

Geometry as POSCAR:
```
BCS
1.0
3.1576 0.0003 0.0005
-0.0014 4.1296 0.0003
-1.5566 -1.9695 8.0748
S B C
2 2 2
direct
0.1808 0.3593 0.2567
0.4170 0.0886 0.7376
0.3421 0.3565 0.5852
0.2556 0.7726 0.4091
0.3438 0.7254 0.5888
0.2539 0.1380 0.4055
```



VASP calculation (PBE-GGA) on CdGe4 after structural relaxation.

Results
DFT formation energy: 959 meV per atom

Geometry as POSCAR:
```
CdGe4
1.0
5.1308 0.0000 0.0000
0.0000 5.1308 0.0000
0.0000 0.0000 5.1308
Ge Cd
4 1
direct
0.0000 0.0000 0.0000
0.5000 0.0000 0.5000
0.0000 0.5000 0.5000
0.5000 0.5000 0.0000
0.5000 0.5000 0.5000
```



VASP calculation (PBE-GGA) on Hf5InSn2 after structural relaxation.

Results
DFT formation energy: 218 meV per atom

Geometry as POSCAR:
```
Hf5InSn2
1.0
-0.8596 -4.6531 1.4876
4.8113 0.0149 -5.4427
9.1697 0.8984 8.1084
Hf In Sn
10 2 4
direct
0.8912 0.7824 0.8755
0.8912 0.7824 0.6245
0.3093 0.6186 0.4922
0.3093 0.6186 0.0078
0.6880 0.3760 0.2500
0.3120 0.6240 0.7500
0.6907 0.3814 0.5078
0.6907 0.3814 0.9922
0.1088 0.2176 0.1245
0.1088 0.2176 0.3755
0.6792 0.3585 0.7500
0.3208 0.6415 0.2500
0.8932 0.7865 0.3800
0.8932 0.7865 0.1200
0.1068 0.2135 0.6200
0.1068 0.2135 0.8800
```



VASP calculation (PBE-GGA) on ThPtRh2 after structural relaxation.

Results
DFT formation energy: -692 meV per atom

Geometry as POSCAR:
```
ThPtRh2
1.0
4.5903 0.0000 0.0000
2.2951 3.9753 0.0000
2.2951 1.3251 4.3542
Rh Pt Th
2 1 1
direct
0.7973 0.7973 0.6082
0.2027 0.2027 0.3918
0.5000 0.5000 0.5000
0.0000 0.0000 0.0000
```



VASP calculation (PBE-GGA) on ZnIn14Hg after structural relaxation.

Results
DFT formation energy: 32 meV per atom

Geometry as POSCAR:
```
ZnIn14Hg
1.0
7.0417 -0.0150 0.0000
0.0149 7.0417 0.0000
0.0000 0.0000 8.5240
Zn In Hg
1 14 1
direct
0.8750 0.8750 0.5000
0.8750 0.8750 0.0000
0.3750 0.3750 0.0000
0.8750 0.3750 0.5000
0.8750 0.3750 0.0000
0.3750 0.8750 0.5000
0.3750 0.8750 0.0000
0.6291 0.1209 0.2584
0.6291 0.1209 0.7416
0.1209 0.6291 0.2584
0.1209 0.6291 0.7416
0.6291 0.6291 0.2585
0.6291 0.6291 0.7415
0.1209 0.1209 0.2585
0.1209 0.1209 0.7415
0.3750 0.3750 0.5000
```



| no. | electronic total energy (eV/atom) |
| --- | --- |
| 1 | -6.190 |
| 2 | -4.234 |
| 3 | -6.343 |
| 4 | -4.340 |
| 5 | -3.813 |
| 6 | -2.949 |
| 7 | -4.616 |
| 8 | -6.517 |
| 9 | -2.918 |
| 10 | -7.346 |
| 11 | -7.733 |
| 12 | -2.463 |